1.
DFT (PBE) results for a geometry-optimized PrTmN structure.

Polymorph energy (0 for the lowest one) = 0.105 eV/atom
Crystal system = orthorhombic
Total magnetization = 0.000 μB per atom

Lattice parameters (Å, degrees): 3.741 8.170 9.267 90.00 90.00 90.00
Fractional positions:
1 Pr 0.000 0.277 0.728
2 Pr 0.000 0.723 0.228
3 Pr 0.000 0.723 0.728
4 Pr 0.000 0.277 0.228
5 Tm 0.500 0.500 0.979
6 Tm 0.499 0.000 0.508
7 Tm 0.500 0.500 0.479
8 Tm 0.501 0.000 0.008
9 N 0.500 0.500 0.730
10 N 0.999 0.000 0.633
11 N 0.500 0.500 0.230
12 N 0.001 0.000 0.133

2.
DFT (PBE) results for a geometry-optimized PrTmN structure.

Polymorph energy (0 for the lowest one) = 0.714 eV/atom
Crystal system = cubic
Total magnetization = 0.000 μB per atom

Lattice parameters (Å, degrees): 4.334 4.334 4.334 60.00 60.00 60.00
Fractional positions:
1 N 0.250 0.250 0.250
2 Pr 0.000 0.000 0.000
3 Tm 0.500 0.500 0.500

3.
DFT (PBE) results for a geometry-optimized Pr2TmUN4 structure.

Crystal system = monoclinic
Total magnetization = 0.001 μB per atom
E = -8.8186 eV per atom

Lattice parameters (Å, degrees): 3.535 6.010 6.206 108.75 90.00 90.00
Fractional positions:
1 N 0.500 0.224 0.206
2 N 0.500 0.776 0.794
3 N 0.000 0.242 0.791
4 N 0.000 0.758 0.209
5 Pr 0.500 0.000 0.500
6 Pr 0.000 0.500 0.500
7 Tm 0.500 0.500 0.000
8 U 0.000 0.000 0.000

4.
DFT (PBE) results for a geometry-optimized PrTmVN3 structure.

Crystal system = monoclinic
Total magnetization = 0.000 μB per atom
E = -8.4586 eV per atom

Lattice parameters (Å, degrees): 3.450 7.378 7.499 100.09 90.00 90.00
Fractional positions:
1 Pr 0.250 0.183 0.185
2 Pr 0.750 0.817 0.815
3 N 0.750 0.170 0.518
4 N 0.250 0.830 0.482
5 N 0.250 0.120 0.846
6 N 0.750 0.415 0.146
7 N 0.750 0.880 0.154
8 N 0.250 0.585 0.854
9 Tm 0.750 0.365 0.839
10 Tm 0.250 0.635 0.161
11 V 0.250 0.092 0.598
12 V 0.750 0.908 0.402